No. 1
La2HoPuN5: optimized geometry, PBE.

```
La2HoPuN5
1.0
-0.5641 0.5982 3.5315
6.6447 -2.9642 -0.2981
4.5715 10.3508 -1.0230
N La Ho Pu
10 4 2 2
direct
0.2690 0.5380 0.6567 N
0.0624 0.1247 0.0561 N
0.4854 0.9707 0.7822 N
0.3308 0.6615 0.3920 N
0.6066 0.2132 0.5160 N
0.6692 0.3385 0.8920 N
0.7310 0.4620 0.1567 N
0.3934 0.7868 0.0160 N
0.5146 0.0293 0.2822 N
0.9376 0.8753 0.5561 N
0.8986 0.7972 0.1887 La
0.1436 0.2873 0.2660 La
0.8564 0.7127 0.7660 La
0.1014 0.2028 0.6887 La
0.2294 0.4587 0.0075 Ho
0.7706 0.5413 0.5075 Ho
0.4685 0.9369 0.4587 Pu
0.5315 0.0631 0.9587 Pu
```

## Properties
The calculation puts the uncorrected energy at -8.98 eV per atom. Its calculated density is 8.650 g/cm³. The size of the total moment is 4.00 μB/cell.

No. 2
Ba3SrCd: optimized geometry, PBE.

```
Ba3SrCd
1.0
-0.0868 5.2865 4.2052
-3.7742 -3.5259 4.3546
5.6023 -2.2934 2.9987
Sr Ba Cd
1 3 1
direct
0.5000 0.5000 0.5000 Sr
0.0000 0.0000 0.5000 Ba
0.5000 0.0000 0.0000 Ba
0.0000 0.5000 0.0000 Ba
0.0000 0.0000 0.0000 Cd
```

## Properties
Its calculated density is 3.296 g/cm³. The size of the total moment is 0.00 μB/cell. Its formation energy is 0.00 eV/atom.

No. 3
PmTmSnBr: optimized geometry, PBE.

```
PmTmSnBr
1.0
-5.0442 1.3710 1.1011
-2.7005 -2.5903 3.8123
-1.1557 2.4627 4.5973
Tm Pm Br Sn
1 1 1 1
direct
0.2500 0.2500 0.2500 Tm
0.7500 0.7500 0.7500 Pm
0.5000 0.5000 0.5000 Br
0.0000 0.0000 0.0000 Sn
```

## Properties
The calculation puts the uncorrected energy at -4.51 eV per atom. Its calculated density is 7.896 g/cm³. The size of the total moment is 0.00 μB/cell.

No. 4
InBRh2: optimized geometry, PBE.

```
InBRh2
1.0
-3.6568 2.9560 4.5345
-0.3846 -5.6003 3.3407
0.2494 -0.6481 5.3289
Rh In B
4 2 2
direct
0.5300 0.1250 0.2500 Rh
0.8750 0.7800 0.7500 Rh
0.3750 0.4700 0.7500 Rh
0.2200 0.6250 0.2500 Rh
0.7500 0.2500 0.5000 In
0.0000 0.0000 0.0000 In
0.5000 0.5000 0.0000 B
0.2500 0.7500 0.5000 B
```

## Properties
Its calculated density is 9.392 g/cm³. The size of the total moment is 0.00 μB/cell. Its formation energy is -0.26 eV/atom.

No. 5
Nd6Pd2C: optimized geometry, PBE.

```
Nd6Pd2C
1.0
6.7100 0.0000 -0.0399
0.0000 7.3791 0.0000
0.2675 0.0000 10.0925
Pd Nd C
4 12 2
direct
0.9486 0.4019 0.2489 Pd
0.5514 0.9019 0.2511 Pd
0.4486 0.0981 0.7489 Pd
0.0514 0.5981 0.7511 Pd
0.8124 0.6739 0.0588 Nd
0.1709 0.3058 0.5580 Nd
0.6876 0.1739 0.4412 Nd
0.6709 0.1942 0.0580 Nd
0.3778 0.5347 0.2388 Nd
0.3291 0.8058 0.9420 Nd
0.6222 0.4653 0.7612 Nd
0.1876 0.3261 0.9412 Nd
0.8778 0.9653 0.7388 Nd
0.8291 0.6942 0.4420 Nd
0.3124 0.8261 0.5588 Nd
0.1222 0.0347 0.2612 Nd
0.0000 0.0000 0.5000 C
0.5000 0.5000 0.0000 C
```

## Properties
Its calculated density is 7.245 g/cm³. The size of the total moment is 0.00 μB/cell. Its formation energy is -0.38 eV/atom.

No. 6
Al2H2Se3: optimized geometry, PBE.

```
Al2H2Se3
1.0
4.1584 -0.7669 1.0787
-0.5894 6.1164 1.2263
2.0337 0.3566 7.5422
Se H Al
3 2 2
direct
0.3051 0.3629 0.2912 Se
0.0000 0.0000 0.0000 Se
0.6949 0.6371 0.7088 Se
0.9115 0.2508 0.3545 H
0.0885 0.7492 0.6455 H
0.5898 0.2471 0.9649 Al
0.4102 0.7529 0.0351 Al
```

## Properties
The calculation puts the uncorrected energy at -3.68 eV per atom. Its calculated density is 2.843 g/cm³. The size of the total moment is 0.00 μB/cell.

No. 7
BaZr2Sb: optimized geometry, PBE.

```
BaZr2Sb
1.0
11.0505 0.0283 0.0166
10.4862 3.4864 0.0166
10.4862 1.7113 3.0376
Sb Zr Ba
1 2 1
direct
0.7391 0.7391 0.7391 Sb
0.2626 0.2626 0.2626 Zr
0.0025 0.0025 0.0025 Zr
0.4957 0.4957 0.4957 Ba
```

## Properties
The calculation puts the uncorrected energy at -5.73 eV per atom. Its calculated density is 6.348 g/cm³. The size of the total moment is 0.00 μB/cell.

No. 8
Dy2HgS4: optimized geometry, PBE.

```
Dy2HgS4
1.0
-5.1923 1.2507 -5.9698
7.6686 -1.6452 -1.6405
-6.1810 -12.0991 2.8412
Dy S Hg
8 16 4
direct
0.5000 0.5000 0.5000 Dy
0.5000 0.0000 0.5000 Dy
0.0000 0.5000 0.0000 Dy
0.2502 0.0000 0.2500 Dy
0.7498 0.0000 0.7500 Dy
0.0000 0.0000 0.5000 Dy
0.0000 0.0000 0.0000 Dy
0.5000 0.0000 0.0000 Dy
0.6290 0.7580 0.3874 S
0.8627 0.2254 0.6210 S
0.8710 0.2420 0.1126 S
0.3710 0.2420 0.6126 S
0.8956 0.7584 0.1209 S
0.3627 0.2254 0.1210 S
0.1373 0.7746 0.3790 S
0.1044 0.2416 0.8791 S
0.6046 0.2417 0.3792 S
0.6371 0.2417 0.8792 S
0.6373 0.7746 0.8790 S
0.3629 0.7583 0.1208 S
0.1372 0.2416 0.3791 S
0.3954 0.7583 0.6208 S
0.1290 0.7580 0.8874 S
0.8628 0.7584 0.6209 S
0.9377 0.3750 0.3124 Hg
0.5627 0.6250 0.1876 Hg
0.4373 0.3750 0.8124 Hg
0.0623 0.6250 0.6876 Hg
```

## Properties
The calculation puts the uncorrected energy at -5.23 eV per atom. Its calculated density is 5.971 g/cm³. The size of the total moment is 0.00 μB/cell.

No. 9
KF4: optimized geometry, PBE.

```
KF4
1.0
5.2107 0.0000 0.0000
0.0000 5.2107 0.0000
0.0000 0.0000 5.2107
F K
4 1
direct
0.5000 0.5000 0.0000 F
0.0000 0.0000 0.0000 F
0.5000 0.0000 0.5000 F
0.0000 0.5000 0.5000 F
0.5000 0.5000 0.5000 K
```

## Properties
The calculation puts the uncorrected energy at -2.26 eV per atom. Its calculated density is 1.351 g/cm³. The size of the total moment is 3.00 μB/cell.

Number 1: DOS(E_F) 10.2 states/eV/cell. Number 2: DOS(E_F) 9.0 states/eV/cell. Number 3: DOS(E_F) 3.9 states/eV/cell. Number 4: DOS(E_F) 1.6 states/eV/cell. Number 5: DOS(E_F) 18.4 states/eV/cell. Number 6: DOS(E_F) 0.4 states/eV/cell. Number 7: DOS(E_F) 4.6 states/eV/cell. Number 8: DOS(E_F) 0.5 states/eV/cell. Number 9: DOS(E_F) 21.8 states/eV/cell.